1.
Compound: Rb2CdBr2
Source: the Alexandria database
Functional: PBE
Structure: relaxed

Lattice parameters (Å, degrees): 9.7414 9.7414 4.2862 90.00 90.00 90.00
Fractional coordinates of all 10 atoms:
Br 0.1533 0.6533 0.5000
Br 0.6533 0.8467 0.5000
Br 0.8467 0.3467 0.5000
Br 0.3467 0.1533 0.5000
Rb 0.3565 0.8565 0.0000
Rb 0.8565 0.6435 0.0000
Rb 0.6435 0.1435 0.0000
Rb 0.1435 0.3565 0.0000
Cd 0.0000 0.0000 0.0000
Cd 0.5000 0.5000 0.0000

E_form (uncorrected) ... -5.952 eV per formula unit
Total moment ... 0.0 μB/f.u.
Final energy ... -24.297 eV per cell


2.
Compound: InPb2
Source: the Alexandria database
Functional: PBE
Structure: relaxed

Lattice parameters (Å, degrees): 7.8632 7.8632 7.8632 154.38 154.38 36.55
Fractional coordinates of all 3 atoms:
Pb 0.1642 0.1642 0.0000
Pb 0.8358 0.8358 0.0000
In 0.5000 0.5000 0.0000

Formation energy ... 0.2 kcal/mol of atoms
Total moment ... 0.0 μB/f.u.
Final energy ... -10.126 eV per cell


> total moment of number 1 (Rb2CdBr2)?

0.0 μB/f.u.